{
  "formula": "Pa4IrOsSe2",
  "functional": "GGA-PBE",
  "state": "optimized geometry",
  "cell": [[3.9523, 0.0000, 0.0000], [0.0000, 7.4366, -0.3648], [0.0000, 2.4037, 6.3959]],
  "species": ["Os", "Pa", "Pa", "Pa", "Pa", "Se", "Se", "Ir"],
  "frac_coords": [[0.0000, 0.5000, 0.5000], [0.0000, 0.2731, 0.2457], [0.5000, 0.7261, 0.2609], [0.5000, 0.2739, 0.7391], [0.0000, 0.7269, 0.7543], [0.5000, 0.0000, 0.5000], [0.0000, 0.0000, 0.0000], [0.5000, 0.5000, 0.0000]]
}

=====

{
  "formula": "Pa2Si4Ir3Os",
  "functional": "GGA-PBE",
  "state": "optimized geometry",
  "cell": [[-4.0585, 0.3551, 0.8085], [-0.6249, -3.8417, -1.4497], [1.4659, -3.6144, 8.9459]],
  "species": ["Pa", "Pa", "Ir", "Ir", "Ir", "Si", "Si", "Si", "Si", "Os"],
  "frac_coords": [[0.0000, 0.5000, 0.7467], [0.5000, 0.0000, 0.2533], [0.5000, 0.0000, 0.8732], [0.0000, 0.5000, 0.1268], [0.0000, 0.0000, 0.5000], [0.5000, 0.5000, 0.0000], [0.5000, 0.0000, 0.6301], [0.0000, 0.5000, 0.3699], [0.0000, 0.0000, 0.0000], [0.5000, 0.5000, 0.5000]]
}

=====

no.,DFT total energy (eV/atom),DOS(E_F) (states/eV/atom)
1,-9.0404,1.296
2,-8.7855,0.778